Entry 1:
AcHo4Te5 | PBE-GGA | optimized geometry

Properties
The value obtained for the total energy is -101.922 eV for the cell shown. The calculation puts the volume at 30.4 Å³ per atom. The density of states at the Fermi level is 0.57 states/eV per atom. The formation energy without anion corrections comes out at -1283 meV per atom.

a b c (Å): 14.7212 4.3735 10.9109
angles (deg): 90.00 120.04 90.00
Space group C2/m (No. 12)
Symmetry-distinct sites (fractional):
Ac  0.0000  0.0000  0.0000 (multiplicity 2)
Ho  0.0931  0.5000  0.3909 (multiplicity 4)
Ho  0.2080  0.0000  0.7924 (multiplicity 4)
Te  0.0000  0.0000  0.5000 (multiplicity 2)
Te  0.1142  0.5000  0.8925 (multiplicity 4)
Te  0.2064  0.0000  0.3199 (multiplicity 4)

Entry 2:
Mn2NiOs2 | PBE-GGA | optimized geometry

Properties
For the formation enthalpy at 0 K, the calculation gives 0.317 eV/atom. The value obtained for the total energy is -89.986 eV for the cell shown. As for the energy above the most stable polymorph in this dataset: 48 meV per atom. The calculation puts the volume at 13.4 Å³ per atom. The density of states at the Fermi level is 1.20 states/eV per atom.

a b c (Å): 7.1226 7.1226 2.6336
angles (deg): 90.00 90.00 90.00
Space group P4/mbm (No. 127)
Symmetry-distinct sites (fractional):
Mn  0.1638  0.3362  0.0000 (multiplicity 4)
Ni  0.0000  0.0000  0.5000 (multiplicity 2)
Os  0.1315  0.6315  0.5000 (multiplicity 4)

Entry 3:
MnIrRu2 | PBE-GGA | optimized geometry

Properties
For the formation enthalpy at 0 K, the calculation gives 0.349 eV/atom. The value obtained for the total energy is -70.369 eV for the cell shown. As for the energy above the most stable polymorph in this dataset: 398 meV per atom. The calculation puts the volume at 14.2 Å³ per atom. The density of states at the Fermi level is 1.53 states/eV per atom.

a b c (Å): 2.7544 4.5930 8.9579
angles (deg): 90.00 90.00 90.00
Space group Cmmm (No. 65)
Symmetry-distinct sites (fractional):
Mn  0.0000  0.0000  0.0000 (multiplicity 2)
Ir  0.0000  0.0000  0.5000 (multiplicity 2)
Ru  0.0000  0.5000  0.2388 (multiplicity 4)

Entry 4:
CeYTe2 | PBE-GGA | optimized geometry

Properties
The value obtained for the total energy is -72.270 eV for the cell shown. As for the energy above the most stable polymorph in this dataset: 0 meV per atom. The calculation puts the volume at 30.7 Å³ per atom. The density of states at the Fermi level is 1.88 states/eV per atom. The formation energy without anion corrections comes out at -1352 meV per atom.

a b c (Å): 4.3943 4.3943 22.0298
angles (deg): 90.00 90.00 120.00
Space group R-3m (No. 166, hexagonal axes)
Symmetry-distinct sites (fractional):
Ce  0.0000  0.0000  0.0000 (multiplicity 3)
Y  0.0000  0.0000  0.5000 (multiplicity 3)
Te  0.0000  0.0000  0.2464 (multiplicity 6)